Below is crystalline Rb3Tm3TaSe8 at its relaxed geometry, with properties calculated at the PBE-GGA level.

```
Rb3Tm3TaSe8
1.0
7.0175 -4.0497 0.0000
7.0175 4.0497 0.0000
-4.6879 0.0000 8.1834
Rb Tm Ta Se
3 3 1 8
Direct
0.0000 0.0000 0.0000
0.0000 0.5000 0.0000
0.5000 0.0000 0.0000
0.0000 0.5000 0.5000
0.5000 0.0000 0.5000
0.5000 0.5000 0.5000
0.0000 0.0000 0.5000
0.2190 0.2190 0.6856
0.2190 0.7479 0.6855
0.2521 0.7810 0.3145
0.2684 0.2684 0.3056
0.7316 0.7316 0.6944
0.7479 0.2190 0.6855
0.7810 0.2521 0.3145
0.7810 0.7810 0.3144
```

Output
The calculated volume comes out at 31.0 Å³ per atom. As for the total magnetic moment: 1.0 μB/f.u. As for the uncorrected formation energy: -1.4877 eV/atom. Its density of states at the Fermi level is 0.2608 states/eV/atom. As for the space group: C2/m.

---

Below is crystalline RbTa2VSe8 at its relaxed geometry, with properties calculated at the PBE-GGA level.

```
RbTa2VSe8
1.0
3.3257 1.9201 9.4528
-3.3257 1.9201 9.4528
0.0000 -3.8402 9.4528
Rb Ta V Se
1 2 1 8
Direct
0.0000 0.0000 0.0000
0.2389 0.2389 0.2389
0.7611 0.7611 0.7611
0.5000 0.5000 0.5000
0.1465 0.7677 0.4330
0.2323 0.5670 0.8535
0.3217 0.3217 0.3217
0.4330 0.1465 0.7677
0.5670 0.8535 0.2323
0.6783 0.6783 0.6783
0.7677 0.4330 0.1465
0.8535 0.2323 0.5670
```

Output
The calculated volume comes out at 30.2 Å³ per atom. As for the total magnetic moment: 0.0 μB/f.u. As for the uncorrected formation energy: -0.5261 eV/atom. Its density of states at the Fermi level is 0.5758 states/eV/atom. As for the space group: R-3.

---

Below is crystalline RbY2TaSe at its relaxed geometry, with properties calculated at the PBE-GGA level.

```
RbY2TaSe
1.0
5.4311 0.0000 0.0000
0.0000 5.4311 0.0000
0.0000 0.0000 5.9427
Rb Y Ta Se
1 2 1 1
Direct
0.0000 0.0000 0.0000
0.0000 0.5000 0.5000
0.5000 0.0000 0.5000
0.5000 0.5000 0.0000
0.0000 0.0000 0.5000
```

Output
The calculated volume comes out at 35.1 Å³ per atom. As for the total magnetic moment: 3.8 μB/f.u. As for the uncorrected formation energy: 0.6333 eV/atom. Its density of states at the Fermi level is 1.2996 states/eV/atom. As for the space group: P4/mmm.

---

Below is crystalline Rb2TaZnSe5 at its relaxed geometry, with properties calculated at the PBE-GGA level.

```
Rb2TaZnSe5
1.0
1.8675 -10.6468 0.0000
1.8675 10.6468 0.0000
0.0000 0.0000 14.3758
Rb Ta Zn Se
4 2 2 10
Direct
0.1239 0.8761 0.5000
0.1256 0.8744 0.1045
0.8744 0.1256 0.6045
0.8761 0.1239 0.0000
0.2263 0.7737 0.8154
0.7737 0.2263 0.3154
0.4255 0.5745 0.2507
0.5745 0.4255 0.7507
0.0945 0.9055 0.8551
0.2825 0.7175 0.4410
0.2982 0.7018 0.1916
0.3387 0.6613 0.8038
0.4871 0.5129 0.1150
0.5129 0.4871 0.6150
0.6613 0.3387 0.3038
0.7018 0.2982 0.6916
0.7175 0.2825 0.9410
0.9055 0.0945 0.3551
```

Output
The calculated volume comes out at 31.8 Å³ per atom. As for the total magnetic moment: 0.0 μB/f.u. As for the uncorrected formation energy: -0.7924 eV/atom. Its density of states at the Fermi level is 0.3312 states/eV/atom. As for the space group: Cmc2_1.

---

Below is crystalline RbTb2Se3 at its relaxed geometry, with properties calculated at the PBE-GGA level.

```
RbTb2Se3
1.0
2.3106 -7.9333 0.0000
2.3106 7.9333 0.0000
0.0000 0.0000 11.1204
Rb Tb Se
2 4 6
Direct
0.2423 0.7577 0.7500
0.7577 0.2423 0.2500
0.0259 0.9741 0.2500
0.5000 0.5000 0.0000
0.5000 0.5000 0.5000
0.9741 0.0259 0.7500
0.1180 0.8820 0.0428
0.1180 0.8820 0.4572
0.4337 0.5663 0.2500
0.5663 0.4337 0.7500
0.8820 0.1180 0.5428
0.8820 0.1180 0.9572
```

Output
The calculated volume comes out at 34.0 Å³ per atom. As for the total magnetic moment: 0.0 μB/f.u. As for the uncorrected formation energy: -1.5365 eV/atom. Its density of states at the Fermi level is 0.5286 states/eV/atom. As for the space group: Cmcm.

---

Below is crystalline RbTb6Se8 at its relaxed geometry, with properties calculated at the PBE-GGA level.

```
RbTb6Se8
1.0
11.0820 0.0000 0.0000
-5.5410 9.5973 0.0000
0.0000 0.0000 4.1863
Rb Tb Se
1 6 8
Direct
0.0000 0.0000 0.0000
0.1381 0.6564 0.2502
0.3436 0.4817 0.2502
0.4817 0.1381 0.7498
0.5183 0.8619 0.2502
0.6564 0.5183 0.7498
0.8619 0.3436 0.7498
0.0452 0.3578 0.2494
0.3126 0.9548 0.2494
0.3333 0.6667 0.7504
0.3578 0.3126 0.7506
0.6422 0.6874 0.2494
0.6667 0.3333 0.2496
0.6874 0.0452 0.7506
0.9548 0.6422 0.7506
```

Output
The calculated volume comes out at 29.7 Å³ per atom. As for the total magnetic moment: 0.0 μB/f.u. As for the uncorrected formation energy: -1.7447 eV/atom. Its density of states at the Fermi level is 0.7824 states/eV/atom. As for the space group: P-3.

---

Below is crystalline RbTbSe2 at its relaxed geometry, with properties calculated at the PBE-GGA level.

```
RbTbSe2
1.0
4.2413 0.0000 0.0000
-2.1207 3.6731 0.0000
0.0000 0.0000 24.3405
Rb Tb Se
3 3 6
Direct
0.0000 0.0000 0.0000
0.3333 0.6667 0.6667
0.6667 0.3333 0.3333
0.0000 0.0000 0.1690
0.3333 0.6667 0.8357
0.6667 0.3333 0.5023
0.0000 0.0000 0.5674
0.0000 0.0000 0.7705
0.3333 0.6667 0.2340
0.3333 0.6667 0.4372
0.6667 0.3333 0.1038
0.6667 0.3333 0.9007
```

Output
The calculated volume comes out at 31.6 Å³ per atom. As for the total magnetic moment: 0.0 μB/f.u. As for the uncorrected formation energy: -1.7243 eV/atom. Its density of states at the Fermi level is 0.0000 states/eV/atom. As for the space group: R3m.

---

Below is crystalline RbTbSe2 at its relaxed geometry, with properties calculated at the PBE-GGA level.

```
RbTbSe2
1.0
4.2598 0.0000 0.0000
-2.1299 3.6891 0.0000
0.0000 0.0000 23.9943
Rb Tb Se
3 3 6
Direct
0.0000 0.0000 0.0000
0.3333 0.6667 0.6667
0.6667 0.3333 0.3333
0.0000 0.0000 0.5000
0.3333 0.6667 0.1667
0.6667 0.3333 0.8333
0.0000 0.0000 0.2321
0.0000 0.0000 0.7679
0.3333 0.6667 0.4346
0.3333 0.6667 0.8987
0.6667 0.3333 0.1013
0.6667 0.3333 0.5654
```

Output
The calculated volume comes out at 31.4 Å³ per atom. As for the total magnetic moment: 0.0 μB/f.u. As for the uncorrected formation energy: -1.7425 eV/atom. Its density of states at the Fermi level is 0.0000 states/eV/atom. As for the space group: R-3m.

---

Below is crystalline RbTb3Se4 at its relaxed geometry, with properties calculated at the PBE-GGA level.

```
RbTb3Se4
1.0
4.1731 0.0000 0.0000
-2.0866 3.6140 0.0000
0.0000 0.0000 29.2791
Rb Tb Se
2 6 8
Direct
0.3333 0.6667 0.2500
0.6667 0.3333 0.7500
0.0000 0.0000 0.0000
0.0000 0.0000 0.5000
0.3333 0.6667 0.6125
0.3333 0.6667 0.8875
0.6667 0.3333 0.1125
0.6667 0.3333 0.3875
0.0000 0.0000 0.1666
0.0000 0.0000 0.3334
0.0000 0.0000 0.6666
0.0000 0.0000 0.8334
0.3333 0.6667 0.0562
0.3333 0.6667 0.4438
0.6667 0.3333 0.5562
0.6667 0.3333 0.9438
```

Output
The calculated volume comes out at 27.6 Å³ per atom. As for the total magnetic moment: 0.0 μB/f.u. As for the uncorrected formation energy: -1.7518 eV/atom. Its density of states at the Fermi level is 0.4107 states/eV/atom. As for the space group: P6_3/mmc.

---

Below is crystalline RbTbSe at its relaxed geometry, with properties calculated at the PBE-GGA level.

```
RbTbSe
1.0
7.5368 0.0000 0.0000
0.0000 4.3610 0.0000
-1.9867 0.0000 18.1220
Rb Tb Se
4 4 4
Direct
0.2005 0.0000 0.1283
0.2995 0.5000 0.8717
0.7005 0.5000 0.1283
0.7995 0.0000 0.8717
0.0809 0.0000 0.6694
0.4191 0.5000 0.3306
0.5809 0.5000 0.6694
0.9191 0.0000 0.3306
0.2307 0.5000 0.6066
0.2693 0.0000 0.3934
0.7307 0.0000 0.6066
0.7693 0.5000 0.3934
```

Output
The calculated volume comes out at 49.6 Å³ per atom. As for the total magnetic moment: 0.3 μB/f.u. As for the uncorrected formation energy: -0.6731 eV/atom. Its density of states at the Fermi level is 0.6410 states/eV/atom. As for the space group: C2/m.

---

Below is crystalline RbTb2Se at its relaxed geometry, with properties calculated at the PBE-GGA level.

```
RbTb2Se
1.0
3.9295 0.0000 0.0000
-1.9648 3.4031 0.0000
0.0000 0.0000 33.4036
Rb Tb Se
3 6 3
Direct
0.0000 0.0000 0.0000
0.3333 0.6667 0.6667
0.6667 0.3333 0.3333
0.0000 0.0000 0.1159
0.0000 0.0000 0.8841
0.3333 0.6667 0.5507
0.3333 0.6667 0.7826
0.6667 0.3333 0.2174
0.6667 0.3333 0.4493
0.0000 0.0000 0.5000
0.3333 0.6667 0.1667
0.6667 0.3333 0.8333
```

Output
The calculated volume comes out at 37.2 Å³ per atom. As for the total magnetic moment: 0.0 μB/f.u. As for the uncorrected formation energy: -0.5483 eV/atom. Its density of states at the Fermi level is 1.1268 states/eV/atom. As for the space group: R-3m.

---

Below is crystalline RbTbTeSe at its relaxed geometry, with properties calculated at the PBE-GGA level.

```
RbTbTeSe
1.0
4.3683 0.0000 0.0000
-2.1841 3.7830 0.0000
0.0000 0.0000 25.3509
Rb Tb Te Se
3 3 3 3
Direct
0.0000 0.0000 0.0000
0.3333 0.6667 0.6667
0.6667 0.3333 0.3333
0.0000 0.0000 0.1600
0.3333 0.6667 0.8267
0.6667 0.3333 0.4934
0.0000 0.0000 0.5649
0.3333 0.6667 0.2316
0.6667 0.3333 0.8983
0.0000 0.0000 0.7671
0.3333 0.6667 0.4338
0.6667 0.3333 0.1005
```

Output
The calculated volume comes out at 34.9 Å³ per atom. As for the total magnetic moment: 0.0 μB/f.u. As for the uncorrected formation energy: -1.5322 eV/atom. Its density of states at the Fermi level is 0.0000 states/eV/atom. As for the space group: R3m.